Below is Cs2ScCrF6 after structural relaxation, with properties calculated at the PBE+U level.

abc: 6.3438 6.3438 8.8420
angles: 90.00 90.00 90.00
Last column: nearest neighbours and their distance in Å.
Space group I4/mmm (No. 139)
Asymmetric unit:
Cs 0.0000 0.5000 0.2500 x4  12 F 3.16-3.18
Sc 0.0000 0.0000 0.0000 x2  6 F 2.04-2.05
Cr 0.0000 0.0000 0.5000 x2  6 F 2.37-2.44
F 0.0000 0.0000 0.2316 x4  1 Sc 2.05
F 0.2278 0.2278 0.0000 x8  1 Sc 2.04

Computed properties:
DOS(E_F) (states/eV per atom): 0.0000
Magnetic moment (μB/f.u.): 5.000
Theoretical density (Mg/m³): 4.45
Raw total energy (eV per atom): -5.6710